1.
## CuRuRh2 (SCAN)

Data for CuRuRh2 at its PBEsol-relaxed geometry.

Unit cell a=8.6578 b=8.6578 c=8.6578 alpha=17.66 beta=17.66 gamma=17.66
Sites, in units of the cell vectors:
Cu  0.0000  0.0000  0.0000
Ru  0.5000  0.5000  0.5000
Rh  0.2504  0.2504  0.2504
Rh  0.7496  0.7496  0.7496

Output
ρ   11.80 g/cm3
E_tot   -29.344 eV per atom
Energy of formation   0.2 eV per formula unit
DOS at the Fermi energy   4.04 states/eV/cell

---

2.
## In2AgHg (SCAN)

Data for In2AgHg at its PBEsol-relaxed geometry.

Unit cell a=5.4532 b=5.4532 c=5.4532 alpha=132.65 beta=132.65 gamma=69.20
Sites, in units of the cell vectors:
In  0.0000  0.0000  0.0000
In  0.7500  0.2500  0.5000
Ag  0.5000  0.5000  0.0000
Hg  0.2500  0.7500  0.5000

Output
ρ   10.38 g/cm3
E_tot   -41.494 eV per atom
Energy of formation   0.3 eV per formula unit
DOS at the Fermi energy   1.19 states/eV/cell

---

3.
## MgTaMo2H (SCAN)

Data for MgTaMo2H at its PBEsol-relaxed geometry.

Unit cell a=4.9668 b=4.9668 c=3.2755 alpha=90.00 beta=90.00 gamma=90.00
Sites, in units of the cell vectors:
Mg  0.0000  0.0000  0.0000
Ta  0.5000  0.5000  0.5000
Mo  0.0000  0.5000  0.5000
Mo  0.5000  0.0000  0.5000
H  0.5000  0.5000  0.0000

Output
ρ   8.18 g/cm3
E_tot   -27.739 eV per atom
DOS at the Fermi energy   5.42 states/eV/cell

---

4.
## BaRhSe2Br (SCAN)

Data for BaRhSe2Br at its PBEsol-relaxed geometry.

Unit cell a=5.9998 b=5.9998 c=5.9694 alpha=90.00 beta=90.00 gamma=90.00
Sites, in units of the cell vectors:
Ba  0.0000  0.0000  0.0000
Rh  0.5000  0.5000  0.5000
Se  0.0000  0.5000  0.0000
Se  0.5000  0.0000  0.0000
Br  0.0000  0.0000  0.5000

Output
ρ   3.69 g/cm3
E_tot   -26.049 eV per atom
Energy relative to the elements, uncorrected   0.5381 eV/atom
DOS at the Fermi energy   4.46 states/eV/cell

---

5.
## BRu2S (SCAN)

Data for BRu2S at its PBEsol-relaxed geometry.

Unit cell a=3.9633 b=3.9633 c=3.9633 alpha=60.00 beta=60.00 gamma=60.00
Sites, in units of the cell vectors:
B  0.0000  0.0000  0.0000
Ru  0.2500  0.2500  0.2500
Ru  0.7500  0.7500  0.7500
S  0.5000  0.5000  0.5000

Output
ρ   9.24 g/cm3
E_tot   -21.366 eV per atom
Energy relative to the elements, uncorrected   0.3113 eV/atom
DOS at the Fermi energy   1.57 states/eV/cell

---

6.
## CaTiP2 (SCAN)

Data for CaTiP2 at its PBEsol-relaxed geometry.

Unit cell a=4.5922 b=4.5922 c=4.5922 alpha=60.00 beta=60.00 gamma=60.00
Sites, in units of the cell vectors:
Ca  0.0000  0.0000  0.0000
Ti  0.5000  0.5000  0.5000
P  0.2500  0.2500  0.2500
P  0.7500  0.7500  0.7500

Output
ρ   3.63 g/cm3
E_tot   -12.195 eV per atom
Energy of formation   -2.3 eV per formula unit
DOS at the Fermi energy   4.29 states/eV/cell

---

7.
## KCa4B3O9 (SCAN)

Data for KCa4B3O9 at its PBEsol-relaxed geometry.

Unit cell a=10.5807 b=6.5746 c=6.5746 alpha=120.88 beta=90.00 gamma=90.00
Sites, in units of the cell vectors:
K  0.2500  0.0811  0.9189
K  0.7500  0.9189  0.0811
Ca  0.0000  0.5320  0.5320
Ca  0.0288  0.6773  0.1047
Ca  0.2500  0.1065  0.4135
Ca  0.4712  0.6773  0.1047
Ca  0.5000  0.5320  0.5320
Ca  0.5288  0.1047  0.6773
Ca  0.7500  0.4135  0.1065
Ca  0.9712  0.1047  0.6773
B  0.0000  0.1051  0.1051
B  0.2500  0.5098  0.8563
B  0.2500  0.6773  0.4357
B  0.5000  0.1051  0.1051
B  0.7500  0.4357  0.6773
B  0.7500  0.8563  0.5098
O  0.0000  0.8933  0.8933
O  0.0263  0.1086  0.3138
O  0.1372  0.3852  0.7684
O  0.1369  0.8034  0.4723
O  0.2500  0.4464  0.3801
O  0.2500  0.7422  0.0376
O  0.3628  0.3852  0.7684
O  0.3631  0.8034  0.4723
O  0.4737  0.1086  0.3138
O  0.5000  0.8933  0.8933
O  0.5263  0.3138  0.1086
O  0.6369  0.4723  0.8034
O  0.6372  0.7684  0.3852
O  0.7500  0.0376  0.7422
O  0.7500  0.3801  0.4464
O  0.8631  0.4723  0.8034
O  0.8628  0.7684  0.3852
O  0.9737  0.3138  0.1086

Output
ρ   3.18 g/cm3
E_tot   -10.434 eV per atom
Energy relative to the elements, uncorrected   -3.0601 eV/atom
DOS at the Fermi energy   0.00 states/eV/cell

---

8.
## CrCuHg2 (SCAN)

Data for CrCuHg2 at its PBEsol-relaxed geometry.

Unit cell a=3.1596 b=3.1596 c=6.6849 alpha=90.00 beta=90.00 gamma=90.00
Sites, in units of the cell vectors:
Cr  0.0000  0.0000  0.0000
Cu  0.0000  0.0000  0.5000
Hg  0.5000  0.5000  0.2623
Hg  0.5000  0.5000  0.7377

Output
ρ   12.86 g/cm3
E_tot   -42.314 eV per atom
Energy of formation   0.7 eV per formula unit
DOS at the Fermi energy   1.59 states/eV/cell

---

9.
## Ca2ScCr (SCAN)

Data for Ca2ScCr at its PBEsol-relaxed geometry.

Unit cell a=3.4986 b=3.4986 c=8.8431 alpha=90.00 beta=90.00 gamma=90.00
Sites, in units of the cell vectors:
Ca  0.0000  0.0000  0.0000
Ca  0.5000  0.5000  0.3409
Sc  0.5000  0.5000  0.7162
Cr  0.0000  0.0000  0.5656

Output
ρ   2.72 g/cm3
E_tot   -12.798 eV per atom
Energy of formation   0.8 eV per formula unit
DOS at the Fermi energy   3.70 states/eV/cell

---

10.
## CuRuSe2 (SCAN)

Data for CuRuSe2 at its PBEsol-relaxed geometry.

Unit cell a=6.6022 b=6.6022 c=6.6022 alpha=130.86 beta=130.86 gamma=72.03
Sites, in units of the cell vectors:
Cu  0.0000  0.0000  0.0000
Cu  0.7500  0.2500  0.5000
Ru  0.2500  0.7500  0.5000
Ru  0.5000  0.5000  0.0000
Se  0.1263  0.6250  0.0013
Se  0.3750  0.3763  0.5013
Se  0.6237  0.1250  0.9987
Se  0.8750  0.8737  0.4987

Output
ρ   6.65 g/cm3
E_tot   -22.582 eV per atom
Energy relative to the elements, uncorrected   -0.0367 eV/atom
DOS at the Fermi energy   4.72 states/eV/cell

---

11.
## Hf5Ge4 (SCAN)

Data for Hf5Ge4 at its PBEsol-relaxed geometry.

Unit cell a=6.9614 b=13.3251 c=7.0416 alpha=90.00 beta=90.00 gamma=90.00
Sites, in units of the cell vectors:
Hf  0.0145  0.0950  0.1765
Hf  0.0145  0.4050  0.1765
Hf  0.1465  0.6241  0.3324
Hf  0.1465  0.8759  0.3324
Hf  0.1801  0.2500  0.4985
Hf  0.3199  0.7500  0.9985
Hf  0.3535  0.1241  0.8324
Hf  0.3535  0.3759  0.8324
Hf  0.4855  0.5950  0.6765
Hf  0.4855  0.9050  0.6765
Hf  0.5145  0.0950  0.3235
Hf  0.5145  0.4050  0.3235
Hf  0.6465  0.6241  0.1676
Hf  0.6465  0.8759  0.1676
Hf  0.6801  0.2500  0.0015
Hf  0.8199  0.7500  0.5015
Hf  0.8535  0.1241  0.6676
Hf  0.8535  0.3759  0.6676
Hf  0.9855  0.5950  0.8235
Hf  0.9855  0.9050  0.8235
Ge  0.0522  0.2500  0.8887
Ge  0.1806  0.7500  0.6465
Ge  0.1953  0.0407  0.5340
Ge  0.1953  0.4593  0.5340
Ge  0.3047  0.5407  0.0340
Ge  0.3047  0.9593  0.0340
Ge  0.3194  0.2500  0.1465
Ge  0.4478  0.7500  0.3887
Ge  0.5522  0.2500  0.6113
Ge  0.6806  0.7500  0.8535
Ge  0.6953  0.0407  0.9660
Ge  0.6953  0.4593  0.9660
Ge  0.8047  0.5407  0.4660
Ge  0.8047  0.9593  0.4660
Ge  0.8194  0.2500  0.3535
Ge  0.9478  0.7500  0.1113

Output
ρ   12.03 g/cm3
E_tot   -44.079 eV per atom
Energy of formation   -7.0 eV per formula unit
DOS at the Fermi energy   12.58 states/eV/cell

---

12.
## CuAgHg (SCAN)

Data for CuAgHg at its PBEsol-relaxed geometry.

Unit cell a=4.3791 b=4.3791 c=4.3791 alpha=60.00 beta=60.00 gamma=60.00
Sites, in units of the cell vectors:
Cu  0.0000  0.0000  0.0000
Ag  0.5000  0.5000  0.5000
Hg  0.2500  0.2500  0.2500

Output
ρ   10.40 g/cm3
E_tot   -37.849 eV per atom
Energy of formation   1.2 eV per formula unit
DOS at the Fermi energy   0.82 states/eV/cell

---

13.
## NiAg2BiS (SCAN)

Data for NiAg2BiS at its PBEsol-relaxed geometry.

Unit cell a=4.9040 b=4.9040 c=4.1039 alpha=90.00 beta=90.00 gamma=90.00
Sites, in units of the cell vectors:
Ni  0.0000  0.0000  0.0000
Ag  0.0000  0.5000  0.5000
Ag  0.5000  0.0000  0.5000
Bi  0.5000  0.5000  0.0000
S  0.0000  0.0000  0.5000

Output
ρ   8.67 g/cm3
E_tot   -33.123 eV per atom
Energy relative to the elements, uncorrected   0.3003 eV/atom
DOS at the Fermi energy   3.84 states/eV/cell

---

14.
## Sr4Tl (SCAN)

Data for Sr4Tl at its PBEsol-relaxed geometry.

Unit cell a=6.7740 b=6.7740 c=6.7740 alpha=109.47 beta=109.47 gamma=109.47
Sites, in units of the cell vectors:
Sr  0.0000  0.0000  0.5000
Sr  0.0000  0.5000  0.0000
Sr  0.5000  0.0000  0.0000
Sr  0.5000  0.5000  0.5000
Tl  0.0000  0.0000  0.0000

Output
ρ   3.85 g/cm3
E_tot   -32.387 eV per atom
Energy of formation   -0.5 eV per formula unit
DOS at the Fermi energy   4.59 states/eV/cell

---

15.
## RuW3N (SCAN)

Data for RuW3N at its PBEsol-relaxed geometry.

Unit cell a=4.6070 b=4.6070 c=4.6070 alpha=90.00 beta=90.00 gamma=90.00
Sites, in units of the cell vectors:
Ru  0.0000  0.0000  0.0000
W  0.0000  0.0000  0.5000
W  0.0000  0.5000  0.0000
W  0.5000  0.0000  0.0000
N  0.5000  0.5000  0.5000

Output
ρ   11.32 g/cm3
E_tot   -47.471 eV per atom
Energy relative to the elements, uncorrected   3.1651 eV/atom
DOS at the Fermi energy   3.81 states/eV/cell

---

16.
## ReRu2W (SCAN)

Data for ReRu2W at its PBEsol-relaxed geometry.

Unit cell a=3.8535 b=3.8535 c=3.8317 alpha=90.00 beta=90.00 gamma=90.00
Sites, in units of the cell vectors:
Re  0.0000  0.0000  0.0000
Ru  0.0000  0.5000  0.5000
Ru  0.5000  0.0000  0.5000
W  0.5000  0.5000  0.0000

Output
ρ   16.70 g/cm3
E_tot   -52.598 eV per atom
Energy of formation   0.0 eV per formula unit
DOS at the Fermi energy   3.67 states/eV/cell

---

17.
## Mn5Re24 (SCAN)

Data for Mn5Re24 at its PBEsol-relaxed geometry.

Unit cell a=8.2313 b=8.2313 c=8.2313 alpha=109.47 beta=109.47 gamma=109.47
Sites, in units of the cell vectors:
Mn  0.0000  0.0000  0.0000
Mn  0.0000  0.0000  0.3506
Mn  0.0000  0.3506  0.0000
Mn  0.3506  0.0000  0.0000
Mn  0.6494  0.6494  0.6494
Re  0.0000  0.3153  0.5973
Re  0.0000  0.5973  0.3153
Re  0.0000  0.6234  0.8066
Re  0.0000  0.8066  0.6234
Re  0.1832  0.3766  0.3766
Re  0.1934  0.1934  0.8168
Re  0.1934  0.8168  0.1934
Re  0.2820  0.6847  0.6847
Re  0.3153  0.0000  0.5973
Re  0.3153  0.5973  0.0000
Re  0.3766  0.1832  0.3766
Re  0.3766  0.3766  0.1832
Re  0.4027  0.4027  0.7180
Re  0.4027  0.7180  0.4027
Re  0.5973  0.0000  0.3153
Re  0.5973  0.3153  0.0000
Re  0.6234  0.0000  0.8066
Re  0.6234  0.8066  0.0000
Re  0.6847  0.2820  0.6847
Re  0.6847  0.6847  0.2820
Re  0.7180  0.4027  0.4027
Re  0.8066  0.0000  0.6234
Re  0.8066  0.6234  0.0000
Re  0.8168  0.1934  0.1934

Output
ρ   18.35 g/cm3
E_tot   -62.103 eV per atom
Energy of formation   -3.4 eV per formula unit
DOS at the Fermi energy   16.52 states/eV/cell

---

18.
## RbTe3P (SCAN)

Data for RbTe3P at its PBEsol-relaxed geometry.

Unit cell a=5.3587 b=5.3587 c=5.3587 alpha=90.00 beta=90.00 gamma=90.00
Sites, in units of the cell vectors:
Rb  0.0000  0.0000  0.0000
Te  0.0000  0.5000  0.5000
Te  0.5000  0.0000  0.5000
Te  0.5000  0.5000  0.0000
P  0.5000  0.5000  0.5000

Output
ρ   5.39 g/cm3
E_tot   -28.680 eV per atom
Energy relative to the elements, uncorrected   -0.1020 eV/atom
DOS at the Fermi energy   3.97 states/eV/cell

---

19.
## YScAu2 (SCAN)

Data for YScAu2 at its PBEsol-relaxed geometry.

Unit cell a=8.9213 b=8.9213 c=8.9213 alpha=22.69 beta=22.69 gamma=22.69
Sites, in units of the cell vectors:
Y  0.0000  0.0000  0.0000
Sc  0.7745  0.7745  0.7745
Au  0.2545  0.2545  0.2545
Au  0.5112  0.5112  0.5112

Output
ρ   9.46 g/cm3
E_tot   -45.568 eV per atom
Energy of formation   -1.9 eV per formula unit
DOS at the Fermi energy   2.23 states/eV/cell

---

20.
## ZrOs2Rh (SCAN)

Data for ZrOs2Rh at its PBEsol-relaxed geometry.

Unit cell a=3.8780 b=3.8780 c=4.0343 alpha=90.00 beta=90.00 gamma=90.00
Sites, in units of the cell vectors:
Zr  0.0000  0.0000  0.0000
Os  0.0000  0.5000  0.5000
Os  0.5000  0.0000  0.5000
Rh  0.5000  0.5000  0.0000

Output
ρ   15.73 g/cm3
E_tot   -52.372 eV per atom
Energy of formation   -1.3 eV per formula unit
DOS at the Fermi energy   3.84 states/eV/cell